Computed, not measured: an optimized crystal structure of NaZnAgHg at the PBE level of DFT.

Calculated values
DFT formation energy = -0.005 eV per atom

Unit cell a=6.826 b=6.826 c=6.826 alpha=90.00 beta=90.00 gamma=90.00
Space group F-43m (No. 216)
Symmetry-distinct sites (fractional):
Na  0.000  0.000  0.000
Zn  0.000  0.000  0.500
Ag  0.250  0.250  0.250
Hg  0.250  0.250  0.750